# PBE+U LiMnNiO4, relaxed
# total energy	-41.401	eV per formula unit
data_LiMnNiO4
_chemical_formula_sum 'Li2 Mn2 Ni2 O8'
_symmetry_space_group_name_H-M 'P 1'
_symmetry_Int_Tables_number 1
_cell_length_a 5.883
_cell_length_b 5.883
_cell_length_c 5.883
_cell_angle_alpha 121.82
_cell_angle_beta 121.38
_cell_angle_gamma 87.25
loop_
_symmetry_equiv_pos_as_xyz
'x,y,z'
loop_
_atom_site_label
_atom_site_type_symbol
_atom_site_fract_x
_atom_site_fract_y
_atom_site_fract_z
O1 O 0.244 0.272 0.971
Mn1 Mn 0.500 0.500 0.000
Li1 Li 0.384 0.134 0.250
Ni1 Ni 0.000 0.500 0.000
O2 O 0.751 0.277 0.026
O3 O 0.249 0.723 0.974
O4 O 0.249 0.275 0.526
Li2 Li 0.616 0.866 0.750
O5 O 0.756 0.728 0.029
O6 O 0.751 0.725 0.474
O7 O 0.801 0.272 0.529
Mn2 Mn 0.000 0.500 0.500
O8 O 0.199 0.728 0.471
Ni2 Ni 0.000 0.000 0.500